[1]
An optimized crystal structure of BeSiB, computed with PBE-GGA.

Density of states at the Fermi level, states/eV/cell: 0.34
Raw total energy, eV for the cell shown: -15.3
ΔE_f (raw), eV per formula unit: 0.534

Cell lengths 3.422, 3.422, 3.615 Å; angles 90.00, 90.00, 120.00 degrees
Positions (direct):
Be1 0.667 0.333 0.500
Si1 0.000 0.000 0.000
B1 0.667 0.333 0.000

---

[2]
An optimized crystal structure of Be2SiB, computed with PBE-GGA.

Density of states at the Fermi level, states/eV/cell: 0.24
Raw total energy, eV for the cell shown: -18.9
ΔE_f (raw), eV per formula unit: 0.686

Cell lengths 3.253, 3.253, 4.190 Å; angles 90.00, 90.00, 120.00 degrees
Positions (direct):
Be1 0.333 0.667 0.859
Be2 0.667 0.333 0.141
Si1 0.000 0.000 0.500
B1 0.000 0.000 0.000

---

[3]
An optimized crystal structure of Be2SiB, computed with PBE-GGA.

Density of states at the Fermi level, states/eV/cell: 1.84
Raw total energy, eV for the cell shown: -16.2
ΔE_f (raw), eV per formula unit: 3.330

Cell lengths 3.747, 3.747, 3.747 Å; angles 60.00, 60.00, 60.00 degrees
Positions (direct):
Be1 0.250 0.250 0.250
Be2 0.750 0.750 0.750
Si1 0.500 0.500 0.500
B1 0.000 0.000 0.000

---

[4]
An optimized crystal structure of BeSiB, computed with PBE-GGA.

Density of states at the Fermi level, states/eV/cell: 1.61
Raw total energy, eV for the cell shown: -14.7
ΔE_f (raw), eV per formula unit: 1.092

Cell lengths 3.469, 3.469, 3.469 Å; angles 60.00, 60.00, 60.00 degrees
Positions (direct):
Be1 0.000 0.000 0.000
Si1 0.500 0.500 0.500
B1 0.250 0.250 0.250